NpMnFeO6 after structural relaxation, computed with PBE+U.

Summary:
The value obtained for the total DFT energy (no corrections) is -8.206 eV per atom. The value obtained for the magnetization is 10.04 μB per formula unit. For the density, the calculation gives 6459 kg/m3.

```
data_NpMnFeO6
_cell_length_a 5.3264
_cell_length_b 5.3264
_cell_length_c 9.2867
_cell_angle_alpha 90.00
_cell_angle_beta 90.00
_cell_angle_gamma 120.00
_space_group_name_H-M_alt 'P -3 1 c'
_space_group_IT_number 163
_space_group_name_Hall '-P 3 2c'
loop_
_atom_site_label
_atom_site_type_symbol
_atom_site_fract_x
_atom_site_fract_y
_atom_site_fract_z
_atom_site_occupancy
Np1 Np 0.3333 0.6667 0.2500 1
Mn1 Mn 0.0000 0.0000 0.0000 1
Fe1 Fe 0.3333 0.6667 0.7500 1
O1 O 0.0011 0.3501 0.1349 1
```